1.
Fe2CoTcAg | PBE-GGA | relaxed Values from VASP.

```
&SYSTEM
  ibrav = 0, nat = 5, ntyp = 4
/
ATOMIC_SPECIES
Fe 55.84 Fe.upf
Co 58.93 Co.upf
Tc 98.00 Tc.upf
Ag 107.87 Ag.upf
CELL_PARAMETERS angstrom
4.0883 0.0000 0.0000
0.0000 4.0883 0.0000
0.0000 0.0000 4.5703
ATOMIC_POSITIONS crystal
Fe 0.0000 0.5000 0.0000
Fe 0.5000 0.0000 0.0000
Co 0.0000 0.0000 0.0000
Tc 0.5000 0.5000 0.5000
Ag 0.0000 0.0000 0.5000
```

Calculated values
ΔH_f (0 K) in eV/atom: 1.68
SG: No. 123

=====

2.
FeCo2AgTe | PBE-GGA | relaxed Values from VASP.

```
&SYSTEM
  ibrav = 0, nat = 5, ntyp = 4
/
ATOMIC_SPECIES
Fe 55.84 Fe.upf
Co 58.93 Co.upf
Ag 107.87 Ag.upf
Te 127.60 Te.upf
CELL_PARAMETERS angstrom
4.5988 0.0000 0.0000
0.0000 4.5988 0.0000
0.0000 0.0000 5.1127
ATOMIC_POSITIONS crystal
Fe 0.0000 0.0000 0.0000
Co 0.0000 0.5000 0.5000
Co 0.5000 0.0000 0.5000
Ag 0.5000 0.5000 0.0000
Te 0.5000 0.5000 0.5000
```

Calculated values
E_tot in eV/atom: -4.40
SG: No. 123

=====

3.
ZrFeCoAg2 | PBE-GGA | relaxed Values from VASP.

```
&SYSTEM
  ibrav = 0, nat = 5, ntyp = 4
/
ATOMIC_SPECIES
Zr 91.22 Zr.upf
Fe 55.84 Fe.upf
Co 58.93 Co.upf
Ag 107.87 Ag.upf
CELL_PARAMETERS angstrom
5.1870 0.0000 0.0000
0.0000 5.1870 0.0000
0.0000 0.0000 4.3813
ATOMIC_POSITIONS crystal
Zr 0.0000 0.0000 0.0000
Fe 0.5000 0.5000 0.5000
Co 0.0000 0.0000 0.5000
Ag 0.0000 0.5000 0.0000
Ag 0.5000 0.0000 0.0000
```

Calculated values
ΔH_f (0 K) in eV/atom: 1.61
SG: No. 123

=====

4.
GaCo3Ag | PBE-GGA | relaxed Values from VASP.

```
&SYSTEM
  ibrav = 0, nat = 5, ntyp = 3
/
ATOMIC_SPECIES
Ga 69.72 Ga.upf
Co 58.93 Co.upf
Ag 107.87 Ag.upf
CELL_PARAMETERS angstrom
4.6517 0.0000 0.0000
0.0000 4.6517 0.0000
0.0000 0.0000 4.6517
ATOMIC_POSITIONS crystal
Ga 0.0000 0.0000 0.0000
Co 0.0000 0.5000 0.5000
Co 0.5000 0.0000 0.5000
Co 0.5000 0.5000 0.0000
Ag 0.5000 0.5000 0.5000
```

Calculated values
ΔH_f (0 K) in eV/atom: 1.61
SG: No. 221

=====

5.
GaCoAg | PBE-GGA | relaxed Values from VASP.

```
&SYSTEM
  ibrav = 0, nat = 12, ntyp = 3
/
ATOMIC_SPECIES
Ga 69.72 Ga.upf
Co 58.93 Co.upf
Ag 107.87 Ag.upf
CELL_PARAMETERS angstrom
2.8248 0.0000 0.0000
0.0000 15.8636 0.0000
0.0000 0.0000 3.9884
ATOMIC_POSITIONS crystal
Ga 0.0000 0.0773 0.2500
Ga 0.0000 0.9227 0.7500
Ga 0.5000 0.4227 0.7500
Ga 0.5000 0.5773 0.2500
Co 0.0000 0.4455 0.2500
Co 0.0000 0.5545 0.7500
Co 0.5000 0.0545 0.7500
Co 0.5000 0.9455 0.2500
Ag 0.0000 0.2012 0.7500
Ag 0.0000 0.7988 0.2500
Ag 0.5000 0.2988 0.2500
Ag 0.5000 0.7012 0.7500
```

Calculated values
ΔH_f (0 K) in eV/atom: -0.01
SG: No. 63

=====

6.
Ga2CoAg2 | PBE-GGA | relaxed Values from VASP.

```
&SYSTEM
  ibrav = 0, nat = 10, ntyp = 3
/
ATOMIC_SPECIES
Ga 69.72 Ga.upf
Co 58.93 Co.upf
Ag 107.87 Ag.upf
CELL_PARAMETERS angstrom
6.2682 0.0000 0.0000
0.0000 6.2682 0.0000
0.0000 0.0000 4.2040
ATOMIC_POSITIONS crystal
Ga 0.1513 0.3487 0.0000
Ga 0.3487 0.8487 0.0000
Ga 0.6513 0.1513 0.0000
Ga 0.8487 0.6513 0.0000
Co 0.0000 0.0000 0.0000
Co 0.5000 0.5000 0.0000
Ag 0.1674 0.6674 0.5000
Ag 0.3326 0.1674 0.5000
Ag 0.6674 0.8326 0.5000
Ag 0.8326 0.3326 0.5000
```

Calculated values
ΔH_f (0 K) in eV/atom: 0.18
SG: No. 127

=====

7.
GaCoAg3 | PBE-GGA | relaxed Values from VASP.

```
&SYSTEM
  ibrav = 0, nat = 5, ntyp = 3
/
ATOMIC_SPECIES
Ga 69.72 Ga.upf
Co 58.93 Co.upf
Ag 107.87 Ag.upf
CELL_PARAMETERS angstrom
4.8486 0.0000 0.0000
0.0000 4.8486 0.0000
0.0000 0.0000 4.8486
ATOMIC_POSITIONS crystal
Ga 0.0000 0.0000 0.0000
Co 0.5000 0.5000 0.5000
Ag 0.0000 0.5000 0.5000
Ag 0.5000 0.0000 0.5000
Ag 0.5000 0.5000 0.0000
```

Calculated values
ΔH_f (0 K) in eV/atom: 0.86
SG: No. 221

=====

8.
Ga3CoAg | PBE-GGA | relaxed Values from VASP.

```
&SYSTEM
  ibrav = 0, nat = 5, ntyp = 3
/
ATOMIC_SPECIES
Ga 69.72 Ga.upf
Co 58.93 Co.upf
Ag 107.87 Ag.upf
CELL_PARAMETERS angstrom
4.5433 0.0000 0.0000
0.0000 4.5433 0.0000
0.0000 0.0000 4.5433
ATOMIC_POSITIONS crystal
Ga 0.0000 0.0000 0.5000
Ga 0.0000 0.5000 0.0000
Ga 0.5000 0.0000 0.0000
Co 0.0000 0.0000 0.0000
Ag 0.5000 0.5000 0.5000
```

Calculated values
ΔH_f (0 K) in eV/atom: 0.01
SG: No. 221

=====

9.
GaCoAg2 | PBE-GGA | relaxed Values from VASP.

```
&SYSTEM
  ibrav = 0, nat = 16, ntyp = 3
/
ATOMIC_SPECIES
Ga 69.72 Ga.upf
Co 58.93 Co.upf
Ag 107.87 Ag.upf
CELL_PARAMETERS angstrom
3.7431 0.0000 0.0000
0.0000 3.7431 0.0000
0.0000 0.0000 19.2488
ATOMIC_POSITIONS crystal
Ga 0.0000 0.0000 0.0000
Ga 0.0000 0.5000 0.2500
Ga 0.5000 0.0000 0.7500
Ga 0.5000 0.5000 0.5000
Co 0.0000 0.0000 0.5000
Co 0.0000 0.5000 0.7500
Co 0.5000 0.0000 0.2500
Co 0.5000 0.5000 0.0000
Ag 0.2482 0.2500 0.6250
Ag 0.2500 0.7482 0.8750
Ag 0.2500 0.7518 0.3750
Ag 0.2518 0.2500 0.1250
Ag 0.7482 0.7500 0.1250
Ag 0.7500 0.2482 0.3750
Ag 0.7500 0.2518 0.8750
Ag 0.7518 0.7500 0.6250
```

Calculated values
ΔH_f (0 K) in eV/atom: 0.39
SG: No. 122

=====

10.
GaCo2Ag2 | PBE-GGA | relaxed Values from VASP.

```
&SYSTEM
  ibrav = 0, nat = 10, ntyp = 3
/
ATOMIC_SPECIES
Ga 69.72 Ga.upf
Co 58.93 Co.upf
Ag 107.87 Ag.upf
CELL_PARAMETERS angstrom
5.9799 0.0000 0.0000
0.0000 5.9799 0.0000
0.0000 0.0000 4.2247
ATOMIC_POSITIONS crystal
Ga 0.0000 0.0000 0.0000
Ga 0.5000 0.5000 0.0000
Co 0.1293 0.3707 0.0000
Co 0.3707 0.8707 0.0000
Co 0.6293 0.1293 0.0000
Co 0.8707 0.6293 0.0000
Ag 0.1724 0.6724 0.5000
Ag 0.3276 0.1724 0.5000
Ag 0.6724 0.8276 0.5000
Ag 0.8276 0.3276 0.5000
```

Calculated values
ΔH_f (0 K) in eV/atom: 0.23
SG: No. 127

=====

11.
GaCoAg3 | PBE-GGA | relaxed Values from VASP.

```
&SYSTEM
  ibrav = 0, nat = 5, ntyp = 3
/
ATOMIC_SPECIES
Ga 69.72 Ga.upf
Co 58.93 Co.upf
Ag 107.87 Ag.upf
CELL_PARAMETERS angstrom
4.7985 0.0000 0.0000
0.0000 4.7985 0.0000
0.0000 0.0000 4.7985
ATOMIC_POSITIONS crystal
Ga 0.0000 0.0000 0.0000
Co 0.5000 0.5000 0.5000
Ag 0.0000 0.0000 0.5000
Ag 0.0000 0.5000 0.0000
Ag 0.5000 0.0000 0.0000
```

Calculated values
ΔH_f (0 K) in eV/atom: 0.95
SG: No. 221

=====

12.
GaCo3Ag | PBE-GGA | relaxed Values from VASP.

```
&SYSTEM
  ibrav = 0, nat = 5, ntyp = 3
/
ATOMIC_SPECIES
Ga 69.72 Ga.upf
Co 58.93 Co.upf
Ag 107.87 Ag.upf
CELL_PARAMETERS angstrom
4.3589 0.0000 0.0000
0.0000 4.3589 0.0000
0.0000 0.0000 4.3589
ATOMIC_POSITIONS crystal
Ga 0.0000 0.0000 0.0000
Co 0.0000 0.0000 0.5000
Co 0.0000 0.5000 0.0000
Co 0.5000 0.0000 0.0000
Ag 0.5000 0.5000 0.5000
```

Calculated values
ΔH_f (0 K) in eV/atom: 1.01
SG: No. 221

=====

13.
GaCo2Ag | PBE-GGA | relaxed Values from VASP.

```
&SYSTEM
  ibrav = 0, nat = 16, ntyp = 3
/
ATOMIC_SPECIES
Ga 69.72 Ga.upf
Co 58.93 Co.upf
Ag 107.87 Ag.upf
CELL_PARAMETERS angstrom
3.7034 0.0000 0.0000
0.0000 3.7034 0.0000
0.0000 0.0000 17.8730
ATOMIC_POSITIONS crystal
Ga 0.0000 0.0000 0.0000
Ga 0.0000 0.5000 0.2500
Ga 0.5000 0.0000 0.7500
Ga 0.5000 0.5000 0.5000
Co 0.1809 0.2500 0.1250
Co 0.2500 0.6809 0.3750
Co 0.2500 0.8191 0.8750
Co 0.3191 0.2500 0.6250
Co 0.6809 0.7500 0.6250
Co 0.7500 0.1809 0.8750
Co 0.7500 0.3191 0.3750
Co 0.8191 0.7500 0.1250
Ag 0.0000 0.0000 0.5000
Ag 0.0000 0.5000 0.7500
Ag 0.5000 0.0000 0.2500
Ag 0.5000 0.5000 0.0000
```

Calculated values
ΔH_f (0 K) in eV/atom: 0.45
SG: No. 122

=====

14.
Ga8Co2Ag | PBE-GGA | relaxed Values from VASP.

```
&SYSTEM
  ibrav = 0, nat = 11, ntyp = 3
/
ATOMIC_SPECIES
Ga 69.72 Ga.upf
Co 58.93 Co.upf
Ag 107.87 Ag.upf
CELL_PARAMETERS angstrom
5.6419 -3.3581 0.0000
5.6419 3.3581 0.0000
-0.7903 0.0000 4.8491
ATOMIC_POSITIONS crystal
Ga 0.0796 0.0796 0.3456
Ga 0.1212 0.6647 0.0986
Ga 0.2903 0.2903 0.6750
Ga 0.3353 0.8788 0.9014
Ga 0.6647 0.1212 0.0986
Ga 0.7097 0.7097 0.3250
Ga 0.8788 0.3353 0.9014
Ga 0.9204 0.9204 0.6544
Co 0.2661 0.2661 0.1651
Co 0.7339 0.7339 0.8349
Ag 0.5000 0.5000 0.5000
```

Calculated values
ΔH_f (0 K) in eV/atom: -0.06
SG: No. 12

=====

15.
KGa2CoAg | PBE-GGA | relaxed Values from VASP.

```
&SYSTEM
  ibrav = 0, nat = 5, ntyp = 4
/
ATOMIC_SPECIES
K 39.10 K.upf
Ga 69.72 Ga.upf
Co 58.93 Co.upf
Ag 107.87 Ag.upf
CELL_PARAMETERS angstrom
4.5968 0.0000 0.0000
0.0000 4.5968 0.0000
0.0000 0.0000 5.2392
ATOMIC_POSITIONS crystal
K 0.0000 0.0000 0.0000
Ga 0.0000 0.5000 0.5000
Ga 0.5000 0.0000 0.5000
Co 0.5000 0.5000 0.5000
Ag 0.5000 0.5000 0.0000
```

Calculated values
ΔH_f (0 K) in eV/atom: -0.01
SG: No. 123

=====

16.
La2Ga6CoAg | PBE-GGA | relaxed Values from VASP.

```
&SYSTEM
  ibrav = 0, nat = 10, ntyp = 4
/
ATOMIC_SPECIES
La 138.91 La.upf
Ga 69.72 Ga.upf
Co 58.93 Co.upf
Ag 107.87 Ag.upf
CELL_PARAMETERS angstrom
0.0000 4.7811 4.7811
4.7811 0.0000 4.7811
4.7811 4.7811 0.0000
ATOMIC_POSITIONS crystal
La 0.2500 0.2500 0.2500
La 0.7500 0.7500 0.7500
Ga 0.2388 0.2388 0.7612
Ga 0.2388 0.7612 0.2388
Ga 0.2388 0.7612 0.7612
Ga 0.7612 0.2388 0.2388
Ga 0.7612 0.2388 0.7612
Ga 0.7612 0.7612 0.2388
Co 0.0000 0.0000 0.0000
Ag 0.5000 0.5000 0.5000
```

Calculated values
ΔH_f (0 K) in eV/atom: -0.23
SG: No. 225

=====

17.
GaCo2AgMo | PBE-GGA | relaxed Values from VASP.

```
&SYSTEM
  ibrav = 0, nat = 5, ntyp = 4
/
ATOMIC_SPECIES
Ga 69.72 Ga.upf
Co 58.93 Co.upf
Ag 107.87 Ag.upf
Mo 95.94 Mo.upf
CELL_PARAMETERS angstrom
4.4121 0.0000 0.0000
0.0000 4.4121 0.0000
0.0000 0.0000 4.9054
ATOMIC_POSITIONS crystal
Ga 0.0000 0.0000 0.0000
Co 0.0000 0.5000 0.5000
Co 0.5000 0.0000 0.5000
Ag 0.5000 0.5000 0.0000
Mo 0.0000 0.0000 0.5000
```

Calculated values
ΔH_f (0 K) in eV/atom: 1.18
SG: No. 123

=====

18.
SmGa3CoAg | PBE-GGA | relaxed Values from VASP.

```
&SYSTEM
  ibrav = 0, nat = 12, ntyp = 4
/
ATOMIC_SPECIES
Sm 150.36 Sm.upf
Ga 69.72 Ga.upf
Co 58.93 Co.upf
Ag 107.87 Ag.upf
CELL_PARAMETERS angstrom
3.0256 -6.2169 0.0000
3.0256 6.2169 0.0000
0.0000 0.0000 5.9094
ATOMIC_POSITIONS crystal
Sm 0.2299 0.7701 0.7500
Sm 0.7701 0.2299 0.2500
Ga 0.2129 0.2129 0.0000
Ga 0.2129 0.2129 0.5000
Ga 0.3642 0.6358 0.2500
Ga 0.6358 0.3642 0.7500
Ga 0.7871 0.7871 0.0000
Ga 0.7871 0.7871 0.5000
Co 0.4370 0.5630 0.7500
Co 0.5630 0.4370 0.2500
Ag 0.1543 0.8457 0.2500
Ag 0.8457 0.1543 0.7500
```

Calculated values
ΔH_f (0 K) in eV/atom: -0.21
SG: No. 63

=====

19.
GaCo2AgSn | PBE-GGA | relaxed Values from VASP.

```
&SYSTEM
  ibrav = 0, nat = 5, ntyp = 4
/
ATOMIC_SPECIES
Ga 69.72 Ga.upf
Co 58.93 Co.upf
Ag 107.87 Ag.upf
Sn 118.71 Sn.upf
CELL_PARAMETERS angstrom
4.8060 0.0000 0.0000
0.0000 4.8060 0.0000
0.0000 0.0000 5.1687
ATOMIC_POSITIONS crystal
Ga 0.0000 0.0000 0.0000
Co 0.0000 0.5000 0.5000
Co 0.5000 0.0000 0.5000
Ag 0.5000 0.5000 0.0000
Sn 0.5000 0.5000 0.5000
```

Calculated values
ΔH_f (0 K) in eV/atom: 1.08
SG: No. 123

=====

20.
GaCoTc2Ag | PBE-GGA | relaxed Values from VASP.

```
&SYSTEM
  ibrav = 0, nat = 5, ntyp = 4
/
ATOMIC_SPECIES
Ga 69.72 Ga.upf
Co 58.93 Co.upf
Tc 98.00 Tc.upf
Ag 107.87 Ag.upf
CELL_PARAMETERS angstrom
4.4051 0.0000 0.0000
0.0000 4.4051 0.0000
0.0000 0.0000 4.7491
ATOMIC_POSITIONS crystal
Ga 0.0000 0.0000 0.0000
Co 0.5000 0.5000 0.5000
Tc 0.0000 0.5000 0.5000
Tc 0.5000 0.0000 0.5000
Ag 0.5000 0.5000 0.0000
```

Calculated values
ΔH_f (0 K) in eV/atom: 1.19
SG: No. 123

=====

| no. | N(E_F) (states/eV per cell) |
| --- | --- |
| 1 | 13.3 |
| 2 | 5.2 |
| 3 | 7.5 |
| 4 | 15.4 |
| 5 | 10.1 |
| 6 | 6.1 |
| 7 | 8.0 |
| 8 | 1.6 |
| 9 | 17.8 |
| 10 | 10.0 |
| 11 | 4.0 |
| 12 | 7.3 |
| 13 | 14.7 |
| 14 | 4.4 |
| 15 | 1.9 |
| 16 | 8.9 |
| 17 | 5.7 |
| 18 | 6.7 |
| 19 | 3.5 |
| 20 | 5.8 |